(1)
SiGeBi2Au meta-GGA SCAN single point on PBEsol structure; total magnetization = 0.00 μB/atom; uncorrected energy = -3.685 Ry per atom; D(E_F) = 0.68 states/eV/atom; V = 136.0 Å³/f.u.; formation energy without anion corrections = 0.950 eV/atom
1.0
5.4583 0.0000 0.0000
0.0000 5.4583 0.0000
0.0000 0.0000 4.5656
Si Ge Bi Au
1 1 2 1
direct
0.0000 0.0000 0.0000 Si
0.0000 0.0000 0.5000 Ge
0.0000 0.5000 0.5000 Bi
0.5000 0.0000 0.5000 Bi
0.5000 0.5000 0.0000 Au

---

(2)
CdPb2Se meta-GGA SCAN single point on PBEsol structure; total magnetization = 0.00 μB/atom; excess energy over the best structure of this formula in the dataset = 0.55 eV/f.u.; uncorrected energy = -3.716 Ry per atom; D(E_F) = 0.28 states/eV/atom; V = 105.4 Å³/f.u.; formation energy without anion corrections = -0.040 eV/atom
1.0
-2.1773 2.1773 5.5582
2.1773 -2.1773 5.5582
2.1773 2.1773 -5.5582
Cd Pb Se
1 2 1
direct
0.0000 0.0000 0.0000 Cd
0.5000 0.5000 0.0000 Pb
0.7500 0.2500 0.5000 Pb
0.2500 0.7500 0.5000 Se

---

(3)
RuRh2Au meta-GGA SCAN single point on PBEsol structure; total magnetization = 0.00 μB/atom; excess energy over the best structure of this formula in the dataset = 0.09 eV/f.u.; uncorrected energy = -3.145 Ry per atom; D(E_F) = 1.04 states/eV/atom; V = 57.1 Å³/f.u.
1.0
1.3593 0.7848 8.9225
-1.3593 0.7848 8.9225
0.0000 -1.5696 8.9225
Ru Rh Au
1 2 1
direct
0.0000 0.0000 0.0000 Ru
0.2550 0.2550 0.2550 Rh
0.7450 0.7450 0.7450 Rh
0.5000 0.5000 0.5000 Au

---

(4)
P2BrCl meta-GGA SCAN single point on PBEsol structure; total magnetization = 0.00 μB/atom; excess energy over the best structure of this formula in the dataset = 0.00 eV/f.u.; uncorrected energy = -0.802 Ry per atom; D(E_F) = 0.63 states/eV/atom; V = 71.2 Å³/f.u.; formation energy without anion corrections = 1.145 eV/atom
1.0
-2.1328 2.1328 3.9158
2.1328 -2.1328 3.9158
2.1328 2.1328 -3.9158
P Br Cl
2 1 1
direct
0.2500 0.7500 0.5000 P
0.7500 0.2500 0.5000 P
0.0000 0.0000 0.0000 Br
0.5000 0.5000 0.0000 Cl

---

(5)
Er2ZnTc meta-GGA SCAN single point on PBEsol structure; total magnetization = 0.00 μB/atom; uncorrected energy = -2.762 Ry per atom; D(E_F) = 0.65 states/eV/atom; V = 78.1 Å³/f.u.
1.0
0.0000 3.3926 3.3926
3.3926 0.0000 3.3926
3.3926 3.3926 0.0000
Er Zn Tc
2 1 1
direct
0.2500 0.2500 0.2500 Er
0.7500 0.7500 0.7500 Er
0.0000 0.0000 0.0000 Zn
0.5000 0.5000 0.5000 Tc

---

(6)
Y3CuO meta-GGA SCAN single point on PBEsol structure; total magnetization = 0.00 μB/atom; uncorrected energy = -1.637 Ry per atom; D(E_F) = 0.85 states/eV/atom; V = 99.0 Å³/f.u.; formation energy without anion corrections = -1.274 eV/atom
1.0
4.6262 0.0000 0.0000
0.0000 4.6262 0.0000
0.0000 0.0000 4.6262
Y Cu O
3 1 1
direct
0.0000 0.0000 0.5000 Y
0.0000 0.5000 0.0000 Y
0.5000 0.0000 0.0000 Y
0.5000 0.5000 0.5000 Cu
0.0000 0.0000 0.0000 O

---

(7)
MoRuPt2 meta-GGA SCAN single point on PBEsol structure; total magnetization = 0.00 μB/atom; excess energy over the best structure of this formula in the dataset = 1.45 eV/f.u.; uncorrected energy = -3.852 Ry per atom; D(E_F) = 0.81 states/eV/atom; V = 59.3 Å³/f.u.
1.0
0.0000 3.0949 3.0949
3.0949 0.0000 3.0949
3.0949 3.0949 0.0000
Mo Ru Pt
1 1 2
direct
0.0000 0.0000 0.0000 Mo
0.7500 0.7500 0.7500 Ru
0.2500 0.2500 0.2500 Pt
0.5000 0.5000 0.5000 Pt

---

(8)
In2BiAsIr meta-GGA SCAN single point on PBEsol structure; total magnetization = 0.00 μB/atom; uncorrected energy = -3.468 Ry per atom; D(E_F) = 0.78 states/eV/atom; V = 126.5 Å³/f.u.
1.0
5.2351 0.0000 0.0000
0.0000 5.2351 0.0000
0.0000 0.0000 4.6172
In Bi As Ir
2 1 1 1
direct
0.0000 0.5000 0.0000 In
0.5000 0.0000 0.0000 In
0.0000 0.0000 0.5000 Bi
0.5000 0.5000 0.5000 As
0.5000 0.5000 0.0000 Ir

---

(9)
Gd3ReO7 meta-GGA SCAN single point on PBEsol structure; total magnetization = 0.45 μB/atom; uncorrected energy = -2.172 Ry per atom; D(E_F) = 0.15 states/eV/atom; V = 144.3 Å³/f.u.; formation energy without anion corrections = -3.080 eV/atom
1.0
5.2987 -3.6624 0.0000
5.2987 3.6624 0.0000
0.0000 0.0000 7.4344
Gd Re O
6 2 14
direct
0.0000 0.0000 0.0000 Gd
0.0000 0.0000 0.5000 Gd
0.0629 0.4765 0.7500 Gd
0.4765 0.0629 0.2500 Gd
0.5235 0.9371 0.7500 Gd
0.9371 0.5235 0.2500 Gd
0.5000 0.5000 0.0000 Re
0.5000 0.5000 0.5000 Re
0.1081 0.1553 0.2500 O
0.1553 0.1081 0.7500 O
0.1778 0.5680 0.0312 O
0.1778 0.5680 0.4688 O
0.4320 0.8222 0.0312 O
0.4320 0.8222 0.4688 O
0.4510 0.5490 0.7500 O
0.5490 0.4510 0.2500 O
0.5680 0.1778 0.5312 O
0.5680 0.1778 0.9688 O
0.8222 0.4320 0.5312 O
0.8222 0.4320 0.9688 O
0.8447 0.8919 0.2500 O
0.8919 0.8447 0.7500 O

---

(10)
Sc3ZnN meta-GGA SCAN single point on PBEsol structure; total magnetization = 0.00 μB/atom; uncorrected energy = -1.046 Ry per atom; D(E_F) = 1.01 states/eV/atom; V = 82.8 Å³/f.u.; formation energy without anion corrections = -1.134 eV/atom
1.0
4.3589 0.0000 0.0000
0.0000 4.3589 0.0000
0.0000 0.0000 4.3589
Sc Zn N
3 1 1
direct
0.0000 0.0000 0.5000 Sc
0.0000 0.5000 0.0000 Sc
0.5000 0.0000 0.0000 Sc
0.5000 0.5000 0.5000 Zn
0.0000 0.0000 0.0000 N

---

(11)
Cd2HgBi meta-GGA SCAN single point on PBEsol structure; total magnetization = 0.00 μB/atom; excess energy over the best structure of this formula in the dataset = 0.00 eV/f.u.; uncorrected energy = -3.809 Ry per atom; D(E_F) = 0.38 states/eV/atom; V = 98.0 Å³/f.u.
1.0
0.0000 3.6594 3.6594
3.6594 0.0000 3.6594
3.6594 3.6594 0.0000
Cd Hg Bi
2 1 1
direct
0.2500 0.2500 0.2500 Cd
0.7500 0.7500 0.7500 Cd
0.0000 0.0000 0.0000 Hg
0.5000 0.5000 0.5000 Bi

---

(12)
BaCaSn3 meta-GGA SCAN single point on PBEsol structure; total magnetization = 0.00 μB/atom; uncorrected energy = -2.359 Ry per atom; D(E_F) = 0.16 states/eV/atom; V = 157.4 Å³/f.u.
1.0
7.9098 -4.6603 0.0000
7.9098 4.6603 0.0000
0.0000 0.0000 17.0808
Ba Ca Sn
8 8 24
direct
0.1742 0.8258 0.9140 Ba
0.2154 0.2154 0.5000 Ba
0.2846 0.2846 0.0000 Ba
0.3258 0.6742 0.4140 Ba
0.6742 0.3258 0.5860 Ba
0.7154 0.7154 0.0000 Ba
0.7846 0.7846 0.5000 Ba
0.8258 0.1742 0.0860 Ba
0.1228 0.1441 0.2718 Ca
0.1441 0.1228 0.7282 Ca
0.3559 0.3772 0.2282 Ca
0.3772 0.3559 0.7718 Ca
0.6228 0.6441 0.2282 Ca
0.6441 0.6228 0.7718 Ca
0.8559 0.8772 0.2718 Ca
0.8772 0.8559 0.7282 Ca
0.0111 0.5419 0.8367 Sn
0.0419 0.5111 0.3367 Sn
0.0637 0.9363 0.5845 Sn
0.0648 0.6985 0.0917 Sn
0.1985 0.5648 0.5917 Sn
0.2194 0.7806 0.2201 Sn
0.2806 0.7194 0.7201 Sn
0.3015 0.9352 0.0917 Sn
0.4352 0.8015 0.5917 Sn
0.4363 0.5637 0.0845 Sn
0.4581 0.9889 0.8367 Sn
0.4889 0.9581 0.3367 Sn
0.5111 0.0419 0.6633 Sn
0.5419 0.0111 0.1633 Sn
0.5637 0.4363 0.9155 Sn
0.5648 0.1985 0.4083 Sn
0.6985 0.0648 0.9083 Sn
0.7194 0.2806 0.2799 Sn
0.7806 0.2194 0.7799 Sn
0.8015 0.4352 0.4083 Sn
0.9352 0.3015 0.9083 Sn
0.9363 0.0637 0.4155 Sn
0.9581 0.4889 0.6633 Sn
0.9889 0.4581 0.1633 Sn